Crystalline MnH6N2Cl2 at its relaxed geometry, computed with PBEsol.

Cell and atoms, written as CIF:
```
data_MnH6N2Cl2
_chemical_formula_sum 'Mn1 H6 N2 Cl2'
_cell_length_a 3.7835
_cell_length_b 5.6868
_cell_length_c 5.6868
_cell_angle_alpha 89.69
_cell_angle_beta 92.23
_cell_angle_gamma 92.23
_symmetry_space_group_name_H-M 'P 1'
_symmetry_Int_Tables_number 1
_symmetry_space_group_name_Hall 'P 1'
loop_
_atom_site_label
_atom_site_type_symbol
_atom_site_fract_x
_atom_site_fract_y
_atom_site_fract_z
H1 H 0.1598 0.4281 0.2063
H2 H 0.8402 0.7937 0.5719
H3 H 0.7824 0.3248 0.3064
H4 H 0.8430 0.5872 0.7773
H5 H 0.2176 0.6936 0.6752
H6 H 0.1570 0.2227 0.4128
Mn1 Mn 0.0000 0.0078 0.9922
Cl1 Cl 0.5000 0.7885 0.2115
Cl2 Cl 0.5000 0.2273 0.7727
N1 N 0.9723 0.7412 0.7249
N2 N 0.0277 0.2751 0.2588
```

***

# SrLaCl2 (PBEsol, optimized geometry)
data_SrLaCl2
_chemical_formula_sum 'Sr1 La1 Cl2'
_cell_length_a 3.6404
_cell_length_b 3.7291
_cell_length_c 10.0139
_cell_angle_alpha 100.73
_cell_angle_beta 100.47
_cell_angle_gamma 90.00
_symmetry_space_group_name_H-M 'P 1'
_symmetry_Int_Tables_number 1
_symmetry_space_group_name_Hall 'P 1'
loop_
_atom_site_label
_atom_site_type_symbol
_atom_site_fract_x
_atom_site_fract_y
_atom_site_fract_z
Sr1 Sr 0.2841 0.7841 0.5682
Cl1 Cl 0.0349 0.0349 0.0698
Cl2 Cl 0.7135 0.2135 0.4269
La1 La 0.4676 0.4676 0.9351
# Energy above the lowest structure with this stoichiometry (meV per atom): 4

***

# ZnAgPt2 (PBEsol, optimized geometry)
data_ZnAgPt2
_chemical_formula_sum 'Zn1 Ag1 Pt2'
_cell_length_a 2.8077
_cell_length_b 4.6571
_cell_length_c 5.3165
_cell_angle_alpha 115.97
_cell_angle_beta 105.31
_cell_angle_gamma 90.00
_symmetry_space_group_name_H-M 'P 1'
_symmetry_Int_Tables_number 1
_symmetry_space_group_name_Hall 'P 1'
loop_
_atom_site_label
_atom_site_type_symbol
_atom_site_fract_x
_atom_site_fract_y
_atom_site_fract_z
Zn1 Zn 0.5000 0.0000 0.0000
Ag1 Ag 0.0000 0.5000 0.0000
Pt1 Pt 0.7654 0.7654 0.5309
Pt2 Pt 0.2346 0.2346 0.4691
# DFT formation energy (eV/atom): -0.218

***

# Y2PtPb (PBEsol, optimized geometry)
data_Y2PtPb
_chemical_formula_sum 'Y2 Pt1 Pb1'
_cell_length_a 3.9678
_cell_length_b 4.3915
_cell_length_c 5.9638
_cell_angle_alpha 90.00
_cell_angle_beta 109.43
_cell_angle_gamma 90.00
_symmetry_space_group_name_H-M 'P 1'
_symmetry_Int_Tables_number 1
_symmetry_space_group_name_Hall 'P 1'
loop_
_atom_site_label
_atom_site_type_symbol
_atom_site_fract_x
_atom_site_fract_y
_atom_site_fract_z
Pb1 Pb 0.8317 0.0000 0.6635
Y1 Y 0.1122 0.0000 0.2245
Y2 Y 0.4024 0.5000 0.8047
Pt1 Pt 0.6558 0.5000 0.3116
# DFT formation energy (eV/atom): -0.834

***

Crystalline YSi2Ir2 at its relaxed geometry, computed with PBEsol.

Cell and atoms, written as CIF:
```
data_YSi2Ir2
_chemical_formula_sum 'Y1 Si2 Ir2'
_cell_length_a 4.0369
_cell_length_b 4.0369
_cell_length_c 5.7145
_cell_angle_alpha 110.68
_cell_angle_beta 110.68
_cell_angle_gamma 90.00
_symmetry_space_group_name_H-M 'P 1'
_symmetry_Int_Tables_number 1
_symmetry_space_group_name_Hall 'P 1'
loop_
_atom_site_label
_atom_site_type_symbol
_atom_site_fract_x
_atom_site_fract_y
_atom_site_fract_z
Y1 Y 0.0000 0.0000 0.0000
Si1 Si 0.3792 0.3792 0.7583
Si2 Si 0.6208 0.6208 0.2417
Ir1 Ir 0.2500 0.7500 0.5000
Ir2 Ir 0.7500 0.2500 0.5000
```

***

# IrRh2Br (PBEsol, optimized geometry)
data_IrRh2Br
_chemical_formula_sum 'Ir1 Rh2 Br1'
_cell_length_a 2.7244
_cell_length_b 2.7781
_cell_length_c 9.2612
_cell_angle_alpha 90.00
_cell_angle_beta 90.00
_cell_angle_gamma 119.36
_symmetry_space_group_name_H-M 'P 1'
_symmetry_Int_Tables_number 1
_symmetry_space_group_name_Hall 'P 1'
loop_
_atom_site_label
_atom_site_type_symbol
_atom_site_fract_x
_atom_site_fract_y
_atom_site_fract_z
Ir1 Ir 0.5000 0.0000 0.7636
Rh1 Rh 0.0000 0.0000 0.0030
Rh2 Rh 0.5000 0.0000 0.2434
Br1 Br 0.0000 0.0000 0.4899
# Energy above the lowest structure with this stoichiometry (meV per atom): 79

***

Values for E, hartree per atom, ordered as above
-0.1920; -0.1579; -0.1809; -0.2567; -0.3206; -0.2323